The following is a PBE-GGA calculation of an optimized crystal structure of NaGeAsO6, from Alexandria.

a b c (Å): 4.9809 4.9809 10.4532
angles (deg): 90.00 90.00 120.00
With the nearest neighbours (Å) after each atom.
Element x y z (fractional)
Na  0.0000  0.0000  0.0000  6 O 2.41
Na  0.0000  0.0000  0.5000  6 O 2.41
Ge  0.3333  0.6667  0.2500  6 O 1.93
Ge  0.6667  0.3333  0.7500  6 O 1.93
As  0.3333  0.6667  0.7500  6 O 1.86
As  0.6667  0.3333  0.2500  6 O 1.86
O  0.0105  0.3692  0.6520  1 As 1.86, 1 Ge 1.93
O  0.0105  0.6413  0.8480  1 As 1.86, 1 Ge 1.93
O  0.3587  0.3692  0.8480  1 As 1.86, 1 Ge 1.93
O  0.3587  0.9895  0.6520  1 As 1.86, 1 Ge 1.93
O  0.3692  0.0105  0.1520  1 As 1.86, 1 Ge 1.93
O  0.3692  0.3587  0.3480  1 As 1.86, 1 Ge 1.93
O  0.6308  0.6413  0.6520  1 As 1.86, 1 Ge 1.93
O  0.6308  0.9895  0.8480  1 As 1.86, 1 Ge 1.93
O  0.6413  0.0105  0.3480  1 As 1.86, 1 Ge 1.93
O  0.6413  0.6308  0.1520  1 As 1.86, 1 Ge 1.93
O  0.9895  0.3587  0.1520  1 As 1.86, 1 Ge 1.93
O  0.9895  0.6308  0.3480  1 As 1.86, 1 Ge 1.93

Properties
space-group type: P-31c, No. 163
formation energy from raw total energies: -1101 meV per atom
total magnetic moment: 0.222 μB per atom
total DFT energy (no corrections): -100.5 eV/cell